# K2OsBr8 | Alexandria via LeMat-Bulk | PBE | relaxed
data_K2OsBr8
_cell_length_a 12.719
_cell_length_b 10.586
_cell_length_c 6.520
_cell_angle_alpha 90.00
_cell_angle_beta 98.49
_cell_angle_gamma 90.00
_space_group_name_H-M_alt 'C 1 2/m 1'
_space_group_IT_number 12
loop_
_space_group_symop_operation_xyz
'x,y,z'
'-x,-y,-z'
'-x,y,-z'
'x,-y,z'
'x+1/2,y+1/2,z'
'-x+1/2,-y+1/2,-z'
'-x+1/2,y+1/2,-z'
'x+1/2,-y+1/2,z'
loop_
_atom_site_label
_atom_site_fract_x
_atom_site_fract_y
_atom_site_fract_z
K1 0.161 0.000 0.390
Os1 0.000 0.500 0.500
Br1 0.086 0.000 0.875
Br2 0.114 0.500 0.840
Br3 0.115 0.335 0.373
# E_form (uncorrected) = -0.627 eV per atom
# E_tot = -3.06 eV per atom
# Crystal system = monoclinic
# Magnetization = 8.12 Bohr magnetons per cell

# BaZnRu2 | Alexandria via LeMat-Bulk | PBE | relaxed
data_BaZnRu2
_cell_length_a 3.394
_cell_length_b 3.394
_cell_length_c 7.150
_cell_angle_alpha 90.00
_cell_angle_beta 90.00
_cell_angle_gamma 90.00
_space_group_name_H-M_alt 'P 4/m m m'
_space_group_IT_number 123
_space_group_name_Hall '-P 4 2'
loop_
_atom_site_label
_atom_site_fract_x
_atom_site_fract_y
_atom_site_fract_z
Ba1 0.000 0.000 0.000
Zn1 0.000 0.000 0.500
Ru1 0.500 0.500 0.332
# E_tot = -4.86 eV per atom
# Crystal system = tetragonal
# Magnetization = 1.92 Bohr magnetons per cell

# LaPuCdAu | Alexandria via LeMat-Bulk | PBE | relaxed
data_LaPuCdAu
_cell_length_a 7.578
_cell_length_b 7.578
_cell_length_c 7.578
_cell_angle_alpha 90.00
_cell_angle_beta 90.00
_cell_angle_gamma 90.00
_space_group_name_H-M_alt 'F -4 3 m'
_space_group_IT_number 216
_space_group_name_Hall 'F -4 2 3'
loop_
_atom_site_label
_atom_site_fract_x
_atom_site_fract_y
_atom_site_fract_z
La1 0.000 0.000 0.000
Pu1 0.000 0.000 0.500
Cd1 0.250 0.250 0.250
Au1 0.250 0.250 0.750
# E_tot = -6.17 eV per atom
# Crystal system = cubic
# Magnetization = 24.39 Bohr magnetons per cell

# BHAu | Alexandria via LeMat-Bulk | PBE | relaxed
data_BHAu
_cell_length_a 6.805
_cell_length_b 3.243
_cell_length_c 5.640
_cell_angle_alpha 90.00
_cell_angle_beta 104.38
_cell_angle_gamma 90.00
_space_group_name_H-M_alt 'P 1 21/c 1'
_space_group_IT_number 14
loop_
_space_group_symop_operation_xyz
'x,y,z'
'-x,-y,-z'
'-x,y+1/2,-z+1/2'
'x,-y+1/2,z+1/2'
loop_
_atom_site_label
_atom_site_fract_x
_atom_site_fract_y
_atom_site_fract_z
B1 0.001 0.000 0.348
H1 0.134 0.247 0.792
Au1 0.340 0.635 0.104
# E_tot = -4.08 eV per atom
# Crystal system = monoclinic
# Magnetization = 0.00 Bohr magnetons per cell

# UPdBr6 | Alexandria via LeMat-Bulk | PBE | relaxed
data_UPdBr6
_cell_length_a 6.486
_cell_length_b 7.251
_cell_length_c 7.640
_cell_angle_alpha 115.13
_cell_angle_beta 114.72
_cell_angle_gamma 91.07
_space_group_name_H-M_alt 'P -1'
_space_group_IT_number 2
loop_
_space_group_symop_operation_xyz
'x,y,z'
'-x,-y,-z'
loop_
_atom_site_label
_atom_site_fract_x
_atom_site_fract_y
_atom_site_fract_z
U1 0.000 0.000 0.000
Pd1 0.500 0.500 0.000
Br1 0.024 0.195 0.394
Br2 0.277 0.758 0.148
Br3 0.404 0.290 0.163
# E_form (uncorrected) = -0.895 eV per atom
# E_tot = -4.21 eV per atom
# Crystal system = triclinic
# Magnetization = 2.05 Bohr magnetons per cell

# AlCo2Pb | Alexandria via LeMat-Bulk | PBE | relaxed
data_AlCo2Pb
_cell_length_a 8.013
_cell_length_b 3.040
_cell_length_c 5.385
_cell_angle_alpha 90.00
_cell_angle_beta 102.93
_cell_angle_gamma 90.00
_space_group_name_H-M_alt 'C 1 2/m 1'
_space_group_IT_number 12
loop_
_space_group_symop_operation_xyz
'x,y,z'
'-x,-y,-z'
'-x,y,-z'
'x,-y,z'
'x+1/2,y+1/2,z'
'-x+1/2,-y+1/2,-z'
'-x+1/2,y+1/2,-z'
'x+1/2,-y+1/2,z'
loop_
_atom_site_label
_atom_site_fract_x
_atom_site_fract_y
_atom_site_fract_z
Al1 0.000 0.000 0.000
Co1 0.240 0.500 0.182
Pb1 0.000 0.500 0.500
# Polymorph energy (0 for the lowest one) = 289 meV per atom
# E_tot = -5.16 eV per atom
# Crystal system = monoclinic
# Magnetization = 4.01 Bohr magnetons per cell